[1]
{
  "formula": "CsHgPdO2",
  "functional": "PBE",
  "state": "relaxed",
  "cell": [[4.3168, 0.0000, 0.0000], [0.0000, 4.3168, 0.0000], [0.0000, 0.0000, 6.5514]],
  "species": ["Cs", "Hg", "Pd", "O", "O"],
  "fractional_positions": [[0.0000, 0.0000, 0.0000], [0.0000, 0.0000, 0.5000], [0.5000, 0.5000, 0.0000], [0.0000, 0.5000, 0.5000], [0.5000, 0.0000, 0.5000]],
  "sg": "P4/mmm",
  "e_tot_ev_per_fu": -13.6
}

[2]
{
  "formula": "CsPrHgO3",
  "functional": "PBE",
  "state": "relaxed",
  "cell": [[8.3945, 0.0000, 0.0000], [0.0000, 3.7510, 0.0000], [-1.5139, 0.0000, 9.2806]],
  "species": ["Cs", "Cs", "Pr", "Pr", "Hg", "Hg", "O", "O", "O", "O", "O", "O"],
  "fractional_positions": [[0.1641, 0.2500, 0.2143], [0.8359, 0.7500, 0.7857], [0.3648, 0.7500, 0.8705], [0.6352, 0.2500, 0.1295], [0.1432, 0.2500, 0.5971], [0.8568, 0.7500, 0.4029], [0.1622, 0.7500, 0.4720], [0.1836, 0.2500, 0.8421], [0.4426, 0.7500, 0.1105], [0.5574, 0.2500, 0.8895], [0.8164, 0.7500, 0.1579], [0.8378, 0.2500, 0.5280]],
  "sg": "P2_1/m",
  "e_tot_ev_per_fu": -30.9
}

[3]
{
  "formula": "Cs4Pu3HgO12",
  "functional": "PBE",
  "state": "relaxed",
  "cell": [[-4.4534, 4.4534, 4.4534], [4.4534, -4.4534, 4.4534], [4.4534, 4.4534, -4.4534]],
  "species": ["Cs", "Cs", "Cs", "Cs", "Pu", "Pu", "Pu", "Hg", "O", "O", "O", "O", "O", "O", "O", "O", "O", "O", "O", "O"],
  "fractional_positions": [[0.0000, 0.0000, 0.5000], [0.0000, 0.5000, 0.0000], [0.5000, 0.0000, 0.0000], [0.5000, 0.5000, 0.5000], [0.0000, 0.5000, 0.5000], [0.5000, 0.0000, 0.5000], [0.5000, 0.5000, 0.0000], [0.0000, 0.0000, 0.0000], [0.0000, 0.2865, 0.2865], [0.0000, 0.7135, 0.7135], [0.2500, 0.5000, 0.7500], [0.2500, 0.7500, 0.5000], [0.2865, 0.0000, 0.2865], [0.2865, 0.2865, 0.0000], [0.5000, 0.2500, 0.7500], [0.5000, 0.7500, 0.2500], [0.7135, 0.0000, 0.7135], [0.7135, 0.7135, 0.0000], [0.7500, 0.2500, 0.5000], [0.7500, 0.5000, 0.2500]],
  "sg": "Im-3m",
  "e_tot_ev_per_fu": -148.3
}

[4]
{
  "formula": "Cs2PuHgO6",
  "functional": "PBE",
  "state": "relaxed",
  "cell": [[0.0000, 4.4730, 4.4730], [4.4730, 0.0000, 4.4730], [4.4730, 4.4730, 0.0000]],
  "species": ["Cs", "Cs", "Pu", "Hg", "O", "O", "O", "O", "O", "O"],
  "fractional_positions": [[0.2500, 0.2500, 0.2500], [0.7500, 0.7500, 0.7500], [0.0000, 0.0000, 0.0000], [0.5000, 0.5000, 0.5000], [0.2224, 0.2224, 0.7776], [0.2224, 0.7776, 0.2224], [0.2224, 0.7776, 0.7776], [0.7776, 0.2224, 0.2224], [0.7776, 0.2224, 0.7776], [0.7776, 0.7776, 0.2224]],
  "sg": "Fm-3m",
  "e_tot_ev_per_fu": -61.9
}